Material: Mg2Mn3O7
Method: DFT, PBE+U
State: optimized geometry

Cell lengths 6.433, 6.789, 7.106 Å; angles 78.49, 81.39, 72.47 degrees
Atoms (fractional coordinates):
Mg (0.062, 0.498, 0.191)
Mg (0.302, 0.186, 0.506)
Mg (0.698, 0.814, 0.494)
Mg (0.938, 0.502, 0.809)
Mn (0.177, 0.803, 0.342)
Mn (0.309, 0.162, 0.942)
Mn (0.377, 0.667, 0.765)
Mn (0.623, 0.333, 0.235)
Mn (0.691, 0.838, 0.058)
Mn (0.823, 0.197, 0.658)
O (0.030, 0.236, 0.367)
O (0.080, 0.100, 0.215)
O (0.098, 0.221, 0.746)
O (0.222, 0.461, 0.933)
O (0.302, 0.499, 0.346)
O (0.377, 0.866, 0.484)
O (0.428, 0.867, 0.937)
O (0.572, 0.133, 0.063)
O (0.623, 0.134, 0.516)
O (0.698, 0.501, 0.654)
O (0.778, 0.539, 0.067)
O (0.902, 0.779, 0.254)
O (0.920, 0.900, 0.785)
O (0.970, 0.764, 0.633)

- energy relative to the lowest polymorph listed for this composition (eV per atom) = 0.204
- space-group type = P-1 (2)
- calculated volume (A^3/atom) = 12.0



Material: MgMn2O3
Method: DFT, PBE+U
State: optimized geometry

Cell lengths 3.129, 3.129, 7.695 Å; angles 90.00, 90.00, 120.00 degrees
Atoms (fractional coordinates):
Mg (0.000, 0.000, 0.000)
Mn (0.333, 0.667, 0.672)
Mn (0.667, 0.333, 0.328)
O (0.000, 0.000, 0.500)
O (0.333, 0.667, 0.154)
O (0.667, 0.333, 0.846)

- space-group type = P-3m1 (164)
- total energy (eV per atom) = -7.20
- calculated volume (A^3/atom) = 10.9



Material: MgMn2O4
Method: DFT, PBE+U
State: optimized geometry

Cell lengths 6.056, 6.056, 6.056 Å; angles 120.40, 120.29, 89.41 degrees
Atoms (fractional coordinates):
Mg (0.000, 0.000, 0.000)
Mg (0.500, 0.000, 0.500)
Mn (0.000, 0.000, 0.500)
Mn (0.000, 0.500, 0.000)
Mn (0.362, 0.612, 0.750)
Mn (0.638, 0.388, 0.250)
O (0.216, 0.247, 0.969)
O (0.222, 0.753, 0.469)
O (0.225, 0.205, 0.480)
O (0.225, 0.744, 0.020)
O (0.775, 0.256, 0.980)
O (0.775, 0.795, 0.520)
O (0.778, 0.247, 0.531)
O (0.784, 0.753, 0.031)

- energy relative to the lowest polymorph listed for this composition (eV per atom) = 0.034
- space-group type = Imma (74)
- calculated volume (A^3/atom) = 11.2



Material: MgMn4O8
Method: DFT, PBE+U
State: optimized geometry

Cell lengths 7.264, 7.264, 9.476 Å; angles 130.34, 130.34, 23.80 degrees
Atoms (fractional coordinates):
Mg (0.000, 0.000, 0.000)
Mn (0.009, 0.009, 0.696)
Mn (0.293, 0.293, 0.631)
Mn (0.495, 0.495, 0.349)
Mn (0.802, 0.802, 0.982)
O (0.111, 0.111, 0.437)
O (0.190, 0.190, 0.899)
O (0.452, 0.452, 0.097)
O (0.496, 0.496, 0.845)
O (0.510, 0.510, 0.567)
O (0.801, 0.801, 0.775)
O (0.821, 0.821, 0.528)
O (0.873, 0.873, 0.237)

- energy relative to the lowest polymorph listed for this composition (eV per atom) = 0.079
- space-group type = Cm (8)
- calculated volume (A^3/atom) = 11.6



Material: MgMn2O4
Method: DFT, PBE+U
State: optimized geometry

Cell lengths 5.731, 5.731, 5.017 Å; angles 115.76, 115.76, 29.51 degrees
Atoms (fractional coordinates):
Mg (0.000, 0.000, 0.000)
Mn (0.268, 0.268, 0.275)
Mn (0.732, 0.732, 0.725)
O (0.138, 0.138, 0.452)
O (0.357, 0.357, 0.003)
O (0.643, 0.643, 0.997)
O (0.862, 0.862, 0.548)

- energy relative to the lowest polymorph listed for this composition (eV per atom) = 0.422
- space-group type = C2/m (12)
- calculated volume (A^3/atom) = 10.4



Material: MgMn2O4
Method: DFT, PBE+U
State: optimized geometry

Cell lengths 5.816, 6.077, 6.105 Å; angles 118.46, 117.78, 91.07 degrees
Atoms (fractional coordinates):
Mg (0.000, 0.000, 0.000)
Mg (0.000, 0.500, 0.500)
Mn (0.000, 0.000, 0.500)
Mn (0.500, 0.000, 0.000)
Mn (0.500, 0.000, 0.500)
Mn (0.500, 0.500, 0.000)
O (0.231, 0.192, 0.931)
O (0.240, 0.218, 0.489)
O (0.244, 0.787, 0.502)
O (0.247, 0.757, 0.966)
O (0.753, 0.243, 0.034)
O (0.756, 0.213, 0.498)
O (0.760, 0.782, 0.511)
O (0.769, 0.808, 0.069)

- energy relative to the lowest polymorph listed for this composition (eV per atom) = 0.094
- space-group type = P-1 (2)
- calculated volume (A^3/atom) = 11.4



Material: MgMn2O4
Method: DFT, PBE+U
State: optimized geometry

Cell lengths 6.048, 6.048, 10.551 Å; angles 107.54, 107.54, 60.21 degrees
Atoms (fractional coordinates):
Mg (0.245, 0.755, 0.500)
Mg (0.323, 0.824, 0.188)
Mg (0.755, 0.245, 0.000)
Mg (0.824, 0.323, 0.688)
Mn (0.081, 0.568, 0.938)
Mn (0.322, 0.326, 0.187)
Mn (0.326, 0.322, 0.687)
Mn (0.405, 0.893, 0.876)
Mn (0.568, 0.081, 0.438)
Mn (0.825, 0.825, 0.188)
Mn (0.825, 0.825, 0.688)
Mn (0.893, 0.405, 0.376)
O (0.186, 0.685, 0.294)
O (0.194, 0.236, 0.806)
O (0.224, 0.662, 0.802)
O (0.236, 0.194, 0.306)
O (0.415, 0.453, 0.068)
O (0.426, 0.980, 0.572)
O (0.453, 0.415, 0.568)
O (0.461, 0.967, 0.085)
O (0.662, 0.224, 0.302)
O (0.685, 0.186, 0.794)
O (0.686, 0.751, 0.309)
O (0.751, 0.686, 0.809)
O (0.905, 0.959, 0.565)
O (0.959, 0.905, 0.065)
O (0.967, 0.461, 0.585)
O (0.980, 0.426, 0.072)

- energy relative to the lowest polymorph listed for this composition (eV per atom) = 0.014
- space-group type = Cc (9)
- calculated volume (A^3/atom) = 11.2



Material: MgMn2O
Method: DFT, PBE+U
State: optimized geometry

Cell lengths 6.021, 6.021, 6.021 Å; angles 116.26, 116.26, 96.61 degrees
Atoms (fractional coordinates):
Mg (0.000, 0.000, 0.000)
Mg (0.750, 0.250, 0.500)
Mn (0.244, 0.625, 0.119)
Mn (0.375, 0.494, 0.619)
Mn (0.506, 0.125, 0.881)
Mn (0.875, 0.756, 0.381)
O (0.250, 0.750, 0.500)
O (0.500, 0.500, 0.000)

- energy relative to the lowest polymorph listed for this composition (eV per atom) = 0.000
- space-group type = I-42d (122)
- calculated volume (A^3/atom) = 20.2



Material: MgMnO2
Method: DFT, PBE+U
State: optimized geometry

Cell lengths 5.577, 5.577, 5.577 Å; angles 31.65, 31.65, 31.65 degrees
Atoms (fractional coordinates):
Mg (0.000, 0.000, 0.000)
Mn (0.170, 0.170, 0.170)
O (0.412, 0.412, 0.412)
O (0.591, 0.591, 0.591)

- space-group type = R3m (160)
- total energy (eV per atom) = -6.79
- calculated volume (A^3/atom) = 10.6



Material: MgMnO2
Method: DFT, PBE+U
State: optimized geometry

Cell lengths 5.300, 5.353, 3.038 Å; angles 90.00, 90.00, 90.00 degrees
Atoms (fractional coordinates):
Mg (0.000, 0.000, 0.000)
Mg (0.500, 0.500, 0.500)
Mn (0.000, 0.500, 0.000)
Mn (0.500, 0.000, 0.500)
O (0.164, 0.235, 0.500)
O (0.336, 0.735, 0.000)
O (0.664, 0.265, 0.000)
O (0.836, 0.765, 0.500)

- space-group type = Pnnm (58)
- total energy (eV per atom) = -6.75
- calculated volume (A^3/atom) = 10.8



Material: MgMnPO2
Method: DFT, PBE+U
State: optimized geometry

Cell lengths 3.813, 3.813, 5.432 Å; angles 90.00, 90.00, 90.00 degrees
Atoms (fractional coordinates):
Mg (0.000, 0.000, 0.000)
Mn (0.500, 0.500, 0.500)
P (0.000, 0.000, 0.500)
O (0.000, 0.500, 0.000)
O (0.500, 0.000, 0.000)

- energy relative to the lowest polymorph listed for this composition (eV per atom) = 0.295
- space-group type = P4/mmm (123)
- calculated volume (A^3/atom) = 15.8



Material: MgMn2P2O9
Method: DFT, PBE+U
State: optimized geometry

Cell lengths 14.377, 6.227, 7.518 Å; angles 90.00, 90.00, 90.00 degrees
Atoms (fractional coordinates):
Mg (0.226, 0.250, 0.149)
Mg (0.274, 0.750, 0.649)
Mg (0.726, 0.250, 0.351)
Mg (0.774, 0.750, 0.851)
Mn (0.000, 0.000, 0.000)
Mn (0.000, 0.500, 0.000)
Mn (0.116, 0.250, 0.644)
Mn (0.384, 0.750, 0.144)
Mn (0.500, 0.000, 0.500)
Mn (0.500, 0.500, 0.500)
Mn (0.616, 0.250, 0.856)
Mn (0.884, 0.750, 0.356)
P (0.070, 0.750, 0.624)
P (0.198, 0.750, 0.082)
P (0.302, 0.250, 0.582)
P (0.430, 0.250, 0.124)
P (0.570, 0.750, 0.876)
P (0.698, 0.750, 0.418)
P (0.802, 0.250, 0.918)
P (0.930, 0.250, 0.376)
O (0.001, 0.750, 0.473)
O (0.020, 0.750, 0.806)
O (0.043, 0.250, 0.876)
O (0.140, 0.561, 0.612)
O (0.140, 0.939, 0.612)
O (0.141, 0.537, 0.092)
O (0.141, 0.963, 0.092)
O (0.237, 0.250, 0.751)
O (0.238, 0.250, 0.417)
O (0.262, 0.750, 0.917)
O (0.263, 0.750, 0.251)
O (0.359, 0.037, 0.592)
O (0.359, 0.463, 0.592)
O (0.360, 0.061, 0.112)
O (0.360, 0.439, 0.112)
O (0.457, 0.750, 0.376)
O (0.480, 0.250, 0.306)
O (0.499, 0.250, 0.973)
O (0.501, 0.750, 0.027)
O (0.520, 0.750, 0.694)
O (0.543, 0.250, 0.624)
O (0.640, 0.561, 0.888)
O (0.640, 0.939, 0.888)
O (0.641, 0.537, 0.408)
O (0.641, 0.963, 0.408)
O (0.737, 0.250, 0.749)
O (0.738, 0.250, 0.083)
O (0.762, 0.750, 0.583)
O (0.763, 0.750, 0.249)
O (0.859, 0.037, 0.908)
O (0.859, 0.463, 0.908)
O (0.860, 0.061, 0.388)
O (0.860, 0.439, 0.388)
O (0.957, 0.750, 0.124)
O (0.980, 0.250, 0.194)
O (0.999, 0.250, 0.527)

- space-group type = Pnma (62)
- total energy (eV per atom) = -7.24
- calculated volume (A^3/atom) = 12.0



Material: MgMnP2O
Method: DFT, PBE+U
State: optimized geometry

Cell lengths 4.851, 4.851, 3.594 Å; angles 90.00, 90.00, 90.00 degrees
Atoms (fractional coordinates):
Mg (0.000, 0.000, 0.000)
Mn (0.500, 0.500, 0.500)
P (0.000, 0.500, 0.000)
P (0.500, 0.000, 0.000)
O (0.000, 0.000, 0.500)

- energy relative to the lowest polymorph listed for this composition (eV per atom) = 0.806
- space-group type = P4/mmm (123)
- calculated volume (A^3/atom) = 16.9



Material: MgMnP2O
Method: DFT, PBE+U
State: optimized geometry

Cell lengths 4.770, 4.770, 3.468 Å; angles 90.00, 90.00, 90.00 degrees
Atoms (fractional coordinates):
Mg (0.000, 0.000, 0.000)
Mn (0.500, 0.500, 0.500)
P (0.000, 0.500, 0.500)
P (0.500, 0.000, 0.500)
O (0.500, 0.500, 0.000)

- energy relative to the lowest polymorph listed for this composition (eV per atom) = 0.000
- space-group type = P4/mmm (123)
- calculated volume (A^3/atom) = 15.8



Material: MgMnP2O8
Method: DFT, PBE+U
State: optimized geometry

Cell lengths 5.518, 5.518, 5.518 Å; angles 106.71, 106.71, 115.16 degrees
Atoms (fractional coordinates):
Mg (0.000, 0.000, 0.000)
Mn (0.750, 0.250, 0.500)
P (0.250, 0.750, 0.500)
P (0.500, 0.500, 0.000)
O (0.084, 0.402, 0.318)
O (0.084, 0.765, 0.682)
O (0.151, 0.331, 0.820)
O (0.235, 0.916, 0.318)
O (0.511, 0.331, 0.180)
O (0.598, 0.916, 0.682)
O (0.669, 0.489, 0.820)
O (0.669, 0.849, 0.180)

- space-group type = I-4m2 (119)
- total energy (eV per atom) = -6.92
- calculated volume (A^3/atom) = 10.7



Material: MgMnP2O7
Method: DFT, PBE+U
State: optimized geometry

Cell lengths 6.277, 6.818, 7.176 Å; angles 76.62, 64.44, 80.18 degrees
Atoms (fractional coordinates):
Mg (0.190, 0.168, 0.387)
Mg (0.810, 0.832, 0.613)
Mn (0.407, 0.302, 0.706)
Mn (0.593, 0.698, 0.294)
P (0.144, 0.639, 0.192)
P (0.267, 0.817, 0.740)
P (0.733, 0.183, 0.260)
P (0.856, 0.361, 0.808)
O (0.095, 0.751, 0.982)
O (0.099, 0.920, 0.635)
O (0.106, 0.326, 0.634)
O (0.215, 0.418, 0.171)
O (0.322, 0.756, 0.201)
O (0.403, 0.629, 0.647)
O (0.446, 0.956, 0.723)
O (0.554, 0.044, 0.277)
O (0.597, 0.371, 0.353)
O (0.678, 0.244, 0.799)
O (0.785, 0.582, 0.829)
O (0.894, 0.674, 0.366)
O (0.901, 0.080, 0.365)
O (0.905, 0.249, 0.018)

- space-group type = P-1 (2)
- total energy (eV per atom) = -7.28
- calculated volume (A^3/atom) = 12.2



Material: MgMnPO2
Method: DFT, PBE+U
State: optimized geometry

Cell lengths 3.733, 3.733, 6.529 Å; angles 90.00, 90.00, 90.00 degrees
Atoms (fractional coordinates):
Mg (0.000, 0.000, 0.000)
Mn (0.000, 0.000, 0.500)
P (0.500, 0.500, 0.500)
O (0.000, 0.500, 0.000)
O (0.500, 0.000, 0.000)

- energy relative to the lowest polymorph listed for this composition (eV per atom) = 0.464
- space-group type = P4/mmm (123)
- calculated volume (A^3/atom) = 18.2



Material: MgMnPO2
Method: DFT, PBE+U
State: optimized geometry

Cell lengths 3.749, 3.749, 5.009 Å; angles 90.00, 90.00, 90.00 degrees
Atoms (fractional coordinates):
Mg (0.000, 0.000, 0.000)
Mn (0.500, 0.500, 0.500)
P (0.500, 0.500, 0.000)
O (0.000, 0.500, 0.500)
O (0.500, 0.000, 0.500)

- energy relative to the lowest polymorph listed for this composition (eV per atom) = 0.000
- space-group type = P4/mmm (123)
- calculated volume (A^3/atom) = 14.1



Material: MgMnPO5
Method: DFT, PBE+U
State: optimized geometry

Cell lengths 5.411, 5.411, 6.912 Å; angles 104.88, 104.88, 100.83 degrees
Atoms (fractional coordinates):
Mg (0.181, 0.819, 0.500)
Mg (0.819, 0.181, 0.000)
Mn (0.423, 0.440, 0.694)
Mn (0.440, 0.423, 0.194)
P (0.059, 0.766, 0.936)
P (0.766, 0.059, 0.436)
O (0.054, 0.155, 0.597)
O (0.087, 0.555, 0.051)
O (0.155, 0.054, 0.097)
O (0.211, 0.733, 0.775)
O (0.333, 0.514, 0.436)
O (0.514, 0.333, 0.936)
O (0.555, 0.087, 0.551)
O (0.733, 0.211, 0.275)
O (0.753, 0.762, 0.328)
O (0.762, 0.753, 0.828)

- space-group type = Cc (9)
- total energy (eV per atom) = -7.11
- calculated volume (A^3/atom) = 11.4